# 1
An optimized crystal structure of LaPmNd2Tm2. Source: the Alexandria database, functional GGA-PBE.

The value obtained for the spin magnetization is 0.000 μB per atom. As for the formation energy from the elements: 1.53 kcal/mol of atoms.

Cell lengths 7.0804, 9.9508, 5.7392 Å; angles 90.00, 90.00, 90.00 degrees
Fractional positions:
La 0.0000 0.0000 0.0000
La 0.5000 0.5000 0.5000
Pm 0.0000 0.5000 0.5000
Pm 0.5000 0.0000 0.0000
Nd 0.2479 0.3330 0.0000
Nd 0.2521 0.8330 0.5000
Nd 0.7479 0.1670 0.5000
Nd 0.7521 0.6670 0.0000
Tm 0.2497 0.1664 0.5000
Tm 0.2503 0.6664 0.0000
Tm 0.7497 0.3336 0.0000
Tm 0.7503 0.8336 0.5000

***

# 2
An optimized crystal structure of Cu3H2Rh2. Source: the Alexandria database, functional GGA-PBE.

The value obtained for the spin magnetization is 0.000 μB per atom. Its total DFT energy (no corrections) is -4.717 eV per atom.

Cell lengths 5.2036, 4.8111, 11.5268 Å; angles 90.00, 90.00, 90.00 degrees
Fractional positions:
Cu 0.0007 0.1818 0.2500
Cu 0.0007 0.3182 0.7500
Cu 0.1427 0.5711 0.5779
Cu 0.1427 0.5711 0.9221
Cu 0.1427 0.9289 0.0779
Cu 0.1427 0.9289 0.4221
Cu 0.8573 0.0711 0.5779
Cu 0.8573 0.0711 0.9221
Cu 0.8573 0.4289 0.0779
Cu 0.8573 0.4289 0.4221
Cu 0.9993 0.6818 0.2500
Cu 0.9993 0.8182 0.7500
H 0.4721 0.6070 0.2500
H 0.4721 0.8930 0.7500
H 0.4809 0.7500 0.0000
H 0.4809 0.7500 0.5000
H 0.5191 0.2500 0.0000
H 0.5191 0.2500 0.5000
H 0.5279 0.1070 0.2500
H 0.5279 0.3930 0.7500
Rh 0.3633 0.0778 0.6224
Rh 0.3633 0.0778 0.8776
Rh 0.3633 0.4222 0.1224
Rh 0.3633 0.4222 0.3776
Rh 0.6367 0.5778 0.6224
Rh 0.6367 0.5778 0.8776
Rh 0.6367 0.9222 0.1224
Rh 0.6367 0.9222 0.3776

***

# 3
An optimized crystal structure of CsAlH. Source: the Alexandria database, functional GGA-PBE.

The value obtained for the spin magnetization is 0.027 μB per atom. Its total DFT energy (no corrections) is -2.500 eV per atom.

Cell lengths 3.9687, 5.0961, 10.4177 Å; angles 91.28, 96.70, 90.00 degrees
Fractional positions:
Cs 0.0831 0.2439 0.2717
Cs 0.9169 0.7561 0.7283
Al 0.4815 0.2451 0.9399
Al 0.5185 0.7549 0.0601
H 0.4719 0.5989 0.9060
H 0.5281 0.4011 0.0940

***

# 4
An optimized crystal structure of Th4GaPd. Source: the Alexandria database, functional GGA-PBE.

The value obtained for the spin magnetization is 0.000 μB per atom. As for the formation energy from the elements: -9.99 kcal/mol of atoms. For the offset from the most stable computed form, the calculation gives 0 meV per atom.

Cell lengths 7.4741, 7.4741, 5.8026 Å; angles 90.00, 90.00, 90.00 degrees
Fractional positions:
Th 0.1578 0.3392 0.0000
Th 0.1578 0.6608 0.5000
Th 0.3392 0.1578 0.5000
Th 0.3392 0.8422 0.0000
Th 0.6608 0.1578 0.0000
Th 0.6608 0.8422 0.5000
Th 0.8422 0.3392 0.5000
Th 0.8422 0.6608 0.0000
Ga 0.5000 0.5000 0.2500
Ga 0.5000 0.5000 0.7500
Pd 0.0000 0.0000 0.2500
Pd 0.0000 0.0000 0.7500

***

# 5
An optimized crystal structure of SrTcMo. Source: the Alexandria database, functional GGA-PBE.

The value obtained for the spin magnetization is 0.000 μB per atom. As for the formation energy from the elements: 19.19 kcal/mol of atoms. For the offset from the most stable computed form, the calculation gives 479 meV per atom.

Cell lengths 3.3594, 3.3594, 7.1612 Å; angles 90.00, 90.00, 120.00 degrees
Fractional positions:
Sr 0.0000 0.0000 0.0000
Tc 0.6667 0.3333 0.3829
Mo 0.3333 0.6667 0.5917

***

# 6
An optimized crystal structure of TaReRu2. Source: the Alexandria database, functional GGA-PBE.

The value obtained for the spin magnetization is 0.000 μB per atom. As for the formation energy from the elements: 13.86 kcal/mol of atoms. For the offset from the most stable computed form, the calculation gives 712 meV per atom.

Cell lengths 9.2979, 9.2979, 9.2979 Å; angles 155.91, 155.91, 34.33 degrees
Fractional positions:
Ta 0.0000 0.0000 0.0000
Ta 0.7500 0.2500 0.5000
Re 0.2500 0.7500 0.5000
Re 0.5000 0.5000 0.0000
Ru 0.1407 0.6250 0.0157
Ru 0.3750 0.3907 0.5157
Ru 0.6093 0.1250 0.9843
Ru 0.8750 0.8593 0.4843

***

# 7
An optimized crystal structure of Tb2PmSmY2. Source: the Alexandria database, functional GGA-PBE.

The value obtained for the spin magnetization is 0.000 μB per atom. As for the formation energy from the elements: 6.55 kcal/mol of atoms.

Cell lengths 6.6689, 17.8103, 3.4007 Å; angles 90.00, 90.00, 90.00 degrees
Fractional positions:
Tb 0.2330 0.1800 0.0000
Tb 0.2670 0.6800 0.5000
Tb 0.7330 0.3200 0.5000
Tb 0.7670 0.8200 0.0000
Pm 0.0000 0.0000 0.0000
Pm 0.5000 0.5000 0.5000
Sm 0.0000 0.5000 0.0000
Sm 0.5000 0.0000 0.5000
Y 0.2302 0.3484 0.5000
Y 0.2698 0.8484 0.0000
Y 0.7302 0.1516 0.0000
Y 0.7698 0.6516 0.5000

***

# 8
An optimized crystal structure of K2Tl3In5. Source: the Alexandria database, functional GGA-PBE.

The value obtained for the spin magnetization is 0.000 μB per atom. As for the formation energy from the elements: -1.96 kcal/mol of atoms.

Cell lengths 5.0607, 5.0607, 12.9272 Å; angles 90.00, 90.00, 90.00 degrees
Fractional positions:
K 0.0000 0.5000 0.2440
K 0.5000 0.0000 0.7560
Tl 0.0000 0.5000 0.6443
Tl 0.5000 0.0000 0.3557
Tl 0.5000 0.5000 0.5000
In 0.0000 0.0000 0.0000
In 0.0000 0.0000 0.5000
In 0.0000 0.5000 0.8720
In 0.5000 0.0000 0.1280
In 0.5000 0.5000 0.0000

***

Volume values (in Å³/f.u.) by entry order: 202.2, 72.1, 104.6, 162.1, 70.0, 66.9, 202.0, 331.1.